Record 1
Compound: Tb6Nd8Al
Source: Alexandria via LeMat-Bulk
Functional: GGA-PBE
Structure: optimized geometry

POSCAR file:
```
Tb6Nd8Al
1.0
9.3859 0.0000 0.0000
-4.6929 8.1284 0.0000
0.0000 0.0000 6.5104
Tb Nd Al
6 8 1
Cartesian
-2.1250 5.2686 1.1048
1.1926 3.6538 1.1048
3.7606 0.7941 5.4055
0.9323 7.3344 1.1048
3.5003 4.4746 5.4055
6.8179 2.8598 5.4055
-3.2371 6.3207 4.4811
0.8376 2.1647 4.4811
2.2935 0.3569 2.0292
0.0000 5.4189 4.2290
4.6930 2.7095 2.2814
2.3994 7.7715 4.4811
3.8553 5.9637 2.0292
7.9300 1.8078 2.0292
0.0000 0.0000 0.0000
```

Calculated values
Formation energy from the elements (kJ/mol of formula units): 131.6
Magnetization (μB per atom): 0.000
Density of states at the Fermi level (states/eV per cell): 21.7
E (eV/atom): -4.554
SG: No. 147


Record 2
Compound: SiHg
Source: Alexandria via LeMat-Bulk
Functional: GGA-PBE
Structure: optimized geometry

POSCAR file:
```
SiHg
1.0
5.5006 0.0000 0.0000
-2.7503 4.7637 0.0000
0.0000 0.0000 5.1847
Si Hg
3 3
Cartesian
-1.3752 2.3818 0.0000
2.7503 0.0000 0.0000
1.3752 2.3818 0.0000
0.0000 0.0000 0.0000
0.0000 3.1758 2.5923
2.7503 1.5879 2.5923
```

Calculated values
E_form (uncorrected) (eV per atom): 0.50
Magnetization (μB per atom): 0.000
Density of states at the Fermi level (states/eV per cell): 1.2
E (eV/atom): -2.363
SG: No. 191


Record 3
Compound: Ir2OsBr
Source: Alexandria via LeMat-Bulk
Functional: GGA-PBE
Structure: optimized geometry

POSCAR file:
```
Ir2OsBr
1.0
4.3534 -1.4163 0.0000
4.3534 1.4163 0.0000
-0.7934 0.0000 6.5866
Ir Os Br
2 1 1
Cartesian
0.0000 0.0000 0.0000
6.2912 0.0000 1.1722
1.6261 0.0000 5.6393
5.3423 0.0000 3.5045
```

Calculated values
E_form (uncorrected) (eV per atom): 0.73
Magnetization (μB per atom): 0.000
Density of states at the Fermi level (states/eV per cell): 4.8
E (eV/atom): -6.922
SG: No. 8


Record 4
Compound: ZnTc2Mo
Source: Alexandria via LeMat-Bulk
Functional: GGA-PBE
Structure: optimized geometry

POSCAR file:
```
ZnTc2Mo
1.0
-1.9493 1.9493 3.8850
1.9493 -1.9493 3.8850
1.9493 1.9493 -3.8850
Zn Tc Mo
1 2 1
Cartesian
0.0000 0.0000 0.0000
1.9493 0.0000 1.9425
0.0000 1.9493 1.9425
0.0000 0.0000 3.8850
```

Calculated values
Formation energy from the elements (kJ/mol of formula units): 62.2
Magnetization (μB per atom): 0.000
Density of states at the Fermi level (states/eV per cell): 4.3
E (eV/atom): -8.048
SG: No. 139


Record 5
Compound: CdSnPbBr6
Source: Alexandria via LeMat-Bulk
Functional: GGA-PBE
Structure: optimized geometry

POSCAR file:
```
CdSnPbBr6
1.0
6.9779 0.0000 0.0000
0.0000 6.9779 0.0000
0.0000 0.0000 13.2763
Cd Sn Pb Br
2 2 2 12
Cartesian
0.0000 0.0000 0.0000
3.4890 3.4890 6.6381
0.0000 0.0000 8.8340
3.4890 3.4890 2.1958
0.0000 0.0000 4.4307
3.4890 3.4890 11.0689
1.3218 1.3218 11.1685
1.3535 1.3535 2.0624
1.4684 1.4684 6.6687
2.0206 4.9573 0.0306
2.1355 4.8424 8.7006
2.1672 4.8108 4.5304
4.8108 2.1672 4.5304
4.8424 2.1355 8.7006
4.9573 2.0206 0.0306
5.5096 5.5096 6.6687
5.6245 5.6245 2.0624
5.6561 5.6561 11.1685
```

Calculated values
E_form (uncorrected) (eV per atom): -0.81
Magnetization (μB per atom): 0.000
Density of states at the Fermi level (states/eV per cell): 0.0
E (eV/atom): -2.885
SG: No. 102


Record 6
Compound: LaCoBr2
Source: Alexandria via LeMat-Bulk
Functional: GGA-PBE
Structure: optimized geometry

POSCAR file:
```
LaCoBr2
1.0
-1.8255 2.0832 7.5577
1.8255 -2.0832 7.5577
1.8255 2.0832 -7.5577
La Co Br
1 1 2
Cartesian
0.0000 0.0000 0.0000
0.0000 2.0832 5.6383
1.8255 0.0000 5.3526
0.0000 0.0000 9.1618
```

Calculated values
E_form (uncorrected) (eV per atom): -0.68
Magnetization (μB per atom): 0.140
Density of states at the Fermi level (states/eV per cell): 2.1
E (eV/atom): -4.521
SG: No. 44


Q: Number 1 is which compound?
A: Tb6Nd8Al